KCrO2 | Alexandria via LeMat-Bulk | GGA+U | relaxed; E_tot = -5.48 eV/atom; distance to the lowest polymorph of the same formula = 941 meV per atom; SG = P6/mmm (191); magnetic moment = 3.00 μB per cell
1.0
5.2652 0.0000 0.0000
-2.6326 4.5598 0.0000
0.0000 0.0000 8.3911
K Cr O
1 1 2
Direct
0.0000 0.0000 0.0000 K
0.0000 0.0000 0.5000 Cr
0.0000 0.0000 0.2951 O
0.0000 0.0000 0.7049 O